! MnSbF3, optimized geometry, DFT PBE+U; values from VASP
! total magnetization = 4.99 μB per formula unit
! space-group type = Pm-3m (221)
! total energy = -5.089 eV/atom
&SYSTEM
  ibrav = 0, nat = 5, ntyp = 3
/
ATOMIC_SPECIES
Mn 54.94 Mn.upf
Sb 121.76 Sb.upf
F 19.00 F.upf
ATOMIC_POSITIONS crystal
Mn 0.0000 0.0000 0.0000
Sb 0.5000 0.5000 0.5000
F 0.0000 0.0000 0.5000
F 0.0000 0.5000 0.0000
F 0.5000 0.0000 0.0000
CELL_PARAMETERS angstrom
4.2819 0.0000 0.0000
0.0000 4.2819 0.0000
0.0000 0.0000 4.2819